Model one:
The following is a DFT calculation (PBEsol) of a relaxed structure of KAs2Os.

The structure in POSCAR format:
```
KAs2Os
1.0
-2.965 -0.927 0.416
0.315 -2.026 -2.272
3.908 -4.311 6.448
Os As K
1 2 1
direct
0.199 0.699 0.397 Os
0.777 0.277 0.554 As
0.083 0.083 0.167 As
0.441 0.441 0.883 K
```


Model two:
The following is a DFT calculation (PBEsol) of a relaxed structure of KAs2Os.

The structure in POSCAR format:
```
KAs2Os
1.0
6.951 0.000 0.000
-3.475 6.040 0.042
0.000 3.960 5.713
As Os K
4 2 2
direct
0.875 0.250 0.744 As
0.375 0.250 0.006 As
0.006 0.750 0.875 As
0.744 0.750 0.375 As
0.750 0.500 0.750 Os
0.000 0.000 0.000 Os
0.250 0.500 0.250 K
0.500 0.000 0.500 K
```


Stability ranking, top entry: model one; the second entry is 102 meV per atom less favorable.


Model one:
The following is a DFT calculation (PBEsol) of a relaxed structure of KAs2Rh.

The structure in POSCAR format:
```
KAs2Rh
1.0
-1.832 1.750 -1.799
0.236 -2.098 -2.280
-6.365 -3.772 2.812
K As Rh
1 2 1
direct
0.500 0.500 0.000 K
0.000 0.000 0.317 As
0.000 0.000 0.683 As
0.500 0.500 0.500 Rh
```


Model two:
The following is a DFT calculation (PBEsol) of a relaxed structure of KAs2Rh.

The structure in POSCAR format:
```
KAs2Rh
1.0
3.362 0.000 0.000
0.000 3.362 0.000
0.000 0.000 7.452
Rh As K
1 2 1
direct
0.500 0.500 0.855 Rh
0.000 0.000 0.960 As
0.500 0.500 0.187 As
0.000 0.000 0.498 K
```


Stability ranking, top entry: model one; the second entry is 248 meV per atom less favorable.


Model one:
The following is a DFT calculation (PBEsol) of a relaxed structure of K2SbAs.

The structure in POSCAR format:
```
K2SbAs
1.0
-0.258 -0.722 3.886
-2.911 -4.693 -1.065
6.496 -0.288 -1.640
K As Sb
2 1 1
direct
0.758 0.258 0.517 K
0.973 0.973 0.945 K
0.213 0.713 0.427 As
0.555 0.555 0.111 Sb
```


Model two:
The following is a DFT calculation (PBEsol) of a relaxed structure of K2SbAs.

The structure in POSCAR format:
```
K2SbAs
1.0
-3.477 -1.191 2.469
-1.141 -3.817 -3.448
4.030 -1.876 4.769
K Sb As
2 1 1
direct
0.000 0.111 0.223 K
0.500 0.387 0.775 K
0.000 0.810 0.620 Sb
0.500 0.682 0.363 As
```


Stability ranking, top entry: model two; the second entry is 29 meV per atom less favorable.


Model one:
The following is a DFT calculation (PBEsol) of a relaxed structure of KSbAs.

The structure in POSCAR format:
```
KSbAs
1.0
3.759 0.000 0.000
0.000 3.759 0.000
-1.880 -1.880 6.025
K Sb As
1 1 1
direct
0.664 0.664 0.327 K
0.377 0.377 0.753 Sb
0.960 0.960 0.920 As
```


Model two:
The following is a DFT calculation (PBEsol) of a relaxed structure of KSbAs.

The structure in POSCAR format:
```
KSbAs
1.0
3.329 0.000 0.000
0.000 5.235 0.000
0.000 -2.618 4.534
As Sb K
1 1 1
direct
0.500 0.000 0.000 As
0.500 0.667 0.333 Sb
0.000 0.333 0.667 K
```


Stability ranking, top entry: model one; the second entry is 232 meV per atom less favorable.


Model one:
The following is a DFT calculation (PBEsol) of a relaxed structure of KTl2As.

The structure in POSCAR format:
```
KTl2As
1.0
-2.935 -1.912 -1.788
1.086 -3.333 1.782
-4.579 1.608 5.798
K Tl As
1 2 1
direct
0.500 0.500 0.730 K
0.000 0.000 0.052 Tl
0.500 0.500 0.284 Tl
0.000 0.000 0.434 As
```


Model two:
The following is a DFT calculation (PBEsol) of a relaxed structure of KTl2As.

The structure in POSCAR format:
```
KTl2As
1.0
-3.277 -0.884 -0.232
-0.169 -0.892 5.794
0.197 6.338 -1.987
Tl As K
2 1 1
direct
0.290 0.290 0.580 Tl
0.710 0.710 0.420 Tl
0.000 0.500 0.000 As
0.500 0.000 0.000 K
```


Stability ranking, top entry: model two; the second entry is 42 meV per atom less favorable.


Model one:
The following is a DFT calculation (PBEsol) of a relaxed structure of KTl2As.

The structure in POSCAR format:
```
KTl2As
1.0
-2.122 2.099 -3.296
-1.393 -2.280 -3.554
-7.745 -1.355 1.123
As Tl K
1 2 1
direct
0.500 0.500 0.500 As
0.772 0.772 0.684 Tl
0.228 0.228 0.316 Tl
0.000 0.000 0.000 K
```


Model two:
The following is a DFT calculation (PBEsol) of a relaxed structure of KTl2As.

The structure in POSCAR format:
```
KTl2As
1.0
-2.246 -1.588 -3.285
4.815 -2.113 -2.271
-2.547 -3.715 3.538
Tl As K
2 1 1
direct
0.000 0.306 0.694 Tl
0.000 0.694 0.306 Tl
0.500 0.500 0.500 As
0.500 0.000 0.000 K
```


Model three:
The following is a DFT calculation (PBEsol) of a relaxed structure of KTl2As.

The structure in POSCAR format:
```
KTl2As
1.0
-5.333 0.728 -0.270
2.551 -2.700 -3.875
-0.701 -5.320 -0.503
As Tl K
1 2 1
direct
0.500 0.000 0.500 As
0.250 0.500 0.250 Tl
0.750 0.500 0.750 Tl
0.000 0.000 0.000 K
```


Stability ranking, top entry: model two; the second entry is 15 meV per atom less favorable.